# BC

An optimized crystal structure of BC (PBE, Alexandria via LeMat-Bulk).

The volume is 163 Å³/cell. Its total moment is 0.00 μB/f.u. The energy relative to the elements is 0.4163 eV per atom.

The structure belongs to space group C2 (No. 5); the cell edges are 8.063, 4.076 and 5.208 Å and the angles 90.00°, 107.33° and 90.00°. The inequivalent atoms are B at (0.000, 0.000, 0.000), B at (0.000, 0.090, 0.500), B at (0.009, 0.393, 0.281), B at (0.174, 0.784, 0.592), C at (0.172, 0.574, 0.851), C at (0.179, 0.811, 0.085) and C at (0.185, 0.601, 0.330).


# BC

An optimized crystal structure of BC (PBE, Alexandria via LeMat-Bulk).

The volume is 167 Å³/cell. Its total moment is 0.00 μB/f.u. The energy relative to the elements is 0.3788 eV per atom.

The structure belongs to space group Cm (No. 8); the cell edges are 12.243, 2.596 and 5.331 Å and the angles 90.00°, 100.30° and 90.00°. The inequivalent atoms are B at (0.000, 0.000, 0.000), B at (0.002, 0.000, 0.491), B at (0.159, 0.500, 0.813), B at (0.237, 0.000, 0.296), B at (0.261, 0.000, 0.906), B at (0.367, 0.000, 0.721), C at (0.090, 0.500, 0.047), C at (0.094, 0.500, 0.526), C at (0.159, 0.500, 0.313), C at (0.349, 0.000, 0.182), C at (0.418, 0.500, 0.218) and C at (0.426, 0.500, 0.713).


# B3C2

An optimized crystal structure of B3C2 (PBE, Alexandria via LeMat-Bulk).

The volume is 148 Å³/cell. Its total moment is 0.00 μB/f.u. The energy relative to the elements is 0.4340 eV per atom.

The structure belongs to space group C2/m (No. 12); the cell edges are 9.616, 2.580 and 6.958 Å and the angles 90.00°, 120.95° and 90.00°. The inequivalent atoms are B at (0.020, 0.000, 0.345), B at (0.127, 0.500, 0.792), B at (0.165, 0.500, 0.069), C at (0.202, 0.000, 0.206) and C at (0.207, 0.000, 0.431).


# BC

An optimized crystal structure of BC (PBE, Alexandria via LeMat-Bulk).

The volume is 162 Å³/cell. Its total moment is 0.00 μB/f.u. The energy relative to the elements is 0.4002 eV per atom.

The structure belongs to space group C2/m (No. 12); the cell edges are 11.815, 2.562 and 5.441 Å and the angles 90.00°, 100.14° and 90.00°. The inequivalent atoms are B at (0.023, 0.000, 0.360), B at (0.130, 0.500, 0.950), B at (0.133, 0.500, 0.463), C at (0.040, 0.000, 0.909), C at (0.213, 0.500, 0.230) and C at (0.215, 0.500, 0.730).


# B7C5

An optimized crystal structure of B7C5 (PBE, Alexandria via LeMat-Bulk).

The volume is 166 Å³/cell. Its total moment is 0.00 μB/f.u. The energy relative to the elements is 0.4371 eV per atom.

The structure belongs to space group Cm (No. 8); the cell edges are 13.406, 2.713 and 4.646 Å and the angles 90.00°, 99.85° and 90.00°. The inequivalent atoms are B at (0.000, 0.000, 0.000), B at (0.009, 0.500, 0.578), B at (0.083, 0.000, 0.445), B at (0.156, 0.500, 0.477), B at (0.166, 0.500, 0.091), B at (0.199, 0.000, 0.690), B at (0.365, 0.500, 0.630), C at (0.049, 0.500, 0.930), C at (0.230, 0.000, 0.027), C at (0.345, 0.000, 0.125), C at (0.381, 0.500, 0.983) and C at (0.382, 0.000, 0.462).


# B7C5

An optimized crystal structure of B7C5 (PBE, Alexandria via LeMat-Bulk).

The volume is 157 Å³/cell. Its total moment is 0.00 μB/f.u. The energy relative to the elements is 0.3516 eV per atom.

The structure belongs to space group Cm (No. 8); the cell edges are 8.324, 2.538 and 8.131 Å and the angles 90.00°, 113.59° and 90.00°. The inequivalent atoms are B at (0.000, 0.000, 0.000), B at (0.010, 0.500, 0.311), B at (0.101, 0.500, 0.536), B at (0.167, 0.500, 0.132), B at (0.264, 0.500, 0.946), B at (0.356, 0.000, 0.458), B at (0.394, 0.500, 0.158), C at (0.172, 0.000, 0.823), C at (0.195, 0.000, 0.650), C at (0.225, 0.500, 0.353), C at (0.388, 0.000, 0.680) and C at (0.479, 0.500, 0.789).


Please write out number 5 again, unchanged.
# B7C5

An optimized crystal structure of B7C5 (PBE, Alexandria via LeMat-Bulk).

The volume is 166 Å³/cell. Its total moment is 0.00 μB/f.u. The energy relative to the elements is 0.4371 eV per atom.

The structure belongs to space group Cm (No. 8); the cell edges are 13.406, 2.713 and 4.646 Å and the angles 90.00°, 99.85° and 90.00°. The inequivalent atoms are B at (0.000, 0.000, 0.000), B at (0.009, 0.500, 0.578), B at (0.083, 0.000, 0.445), B at (0.156, 0.500, 0.477), B at (0.166, 0.500, 0.091), B at (0.199, 0.000, 0.690), B at (0.365, 0.500, 0.630), C at (0.049, 0.500, 0.930), C at (0.230, 0.000, 0.027), C at (0.345, 0.000, 0.125), C at (0.381, 0.500, 0.983) and C at (0.382, 0.000, 0.462).